[1]
PBE Hf4SnHg, relaxed; SG = Cmcm; energy relative to the elements = 66.0 meV per atom
1.0
2.538 -9.887 0.000
2.538 9.887 0.000
0.000 0.000 5.921
Hf Sn Hg
8 2 2
Cartesian
2.538 8.518 4.441
2.538 5.757 2.977
2.538 5.757 5.905
2.538 2.877 4.441
2.538 -2.877 1.480
2.538 -5.757 0.016
2.538 -5.757 2.944
2.538 -8.518 1.480
2.538 2.962 1.480
2.538 -2.962 4.441
2.538 8.456 1.480
2.538 -8.456 4.441

=====

[2]
PBE HfSnHg, relaxed; SG = Amm2; energy relative to the elements = -21.0 meV per atom; ΔE to the lowest computed polymorph = 0 kJ/mol of formula units
1.0
14.770 0.000 0.000
0.000 1.647 2.853
0.000 -1.647 2.853
Hf Sn Hg
2 2 2
Cartesian
0.000 0.000 0.000
7.385 0.000 1.944
4.952 0.000 0.032
9.818 0.000 0.032
2.372 0.000 1.889
12.398 0.000 1.889

=====

[3]
PBE SrHf3Hg, relaxed; SG = Pm-3m; energy relative to the elements = 2042.0 meV per atom; ΔE to the lowest computed polymorph = 508 kJ/mol of formula units
1.0
5.148 0.000 0.000
0.000 5.148 0.000
0.000 0.000 5.148
Sr Hf Hg
1 3 1
Cartesian
0.000 0.000 0.000
0.000 0.000 2.574
0.000 2.574 0.000
2.574 0.000 0.000
2.574 2.574 2.574

=====

[4]
PBE Sr2HfHg, relaxed; SG = I-42d; energy relative to the elements = 548.0 meV per atom
1.0
-4.568 4.568 3.258
4.568 -4.568 3.258
4.568 4.568 -3.258
Sr Hf Hg
4 2 2
Cartesian
6.853 1.934 -0.815
1.934 2.284 0.815
-2.284 2.634 2.444
2.634 2.284 4.073
4.568 0.000 1.629
0.000 0.000 3.258
0.000 0.000 0.000
0.000 4.568 1.629

=====

[5]
PBE SrHf2Hg, relaxed; SG = I-42d; energy relative to the elements = 550.9 meV per atom
1.0
-2.179 2.179 11.393
2.179 -2.179 11.393
2.179 2.179 -11.393
Sr Hf Hg
2 4 2
Cartesian
0.000 0.000 0.000
0.000 2.179 5.697
1.090 -1.007 8.545
1.172 1.090 2.848
1.090 3.187 -2.848
1.007 1.090 14.242
2.179 0.000 5.697
0.000 0.000 11.393

=====

[6]
PBE SrHf3Hg, relaxed; SG = Pm-3m; energy relative to the elements = 989.5 meV per atom; ΔE to the lowest computed polymorph = 0 kJ/mol of formula units
1.0
5.373 0.000 0.000
0.000 5.373 0.000
0.000 0.000 5.373
Sr Hf Hg
1 3 1
Cartesian
0.000 0.000 0.000
0.000 2.686 2.686
2.686 0.000 2.686
2.686 2.686 0.000
2.686 2.686 2.686

=====

[7]
PBE Sr4Hf2Hg, relaxed; SG = I4/mmm; energy relative to the elements = 644.8 meV per atom
1.0
-3.160 3.160 7.956
3.160 -3.160 7.956
3.160 3.160 -7.956
Sr Hf Hg
4 2 1
Cartesian
3.160 0.000 0.000
0.000 0.000 3.185
0.000 3.160 0.000
0.000 0.000 12.727
0.000 0.000 6.652
0.000 0.000 9.260
0.000 0.000 0.000

=====

[8]
PBE Sr2HfTlHg, relaxed; SG = P4/mmm; energy relative to the elements = 693.9 meV per atom
1.0
6.099 0.000 0.000
0.000 6.099 0.000
0.000 0.000 5.458
Sr Hf Tl Hg
2 1 1 1
Cartesian
0.000 3.050 0.000
3.050 0.000 0.000
0.000 0.000 2.729
3.050 3.050 2.729
3.050 3.050 0.000